Model w:
Computed, not measured: RbHBr3 after structural relaxation at the PBE level of DFT.

a = 7.583 Å, b = 6.735 Å, c = 7.711 Å
α = 90.00°, β = 119.45°, γ = 90.00°
Site moments in Bohr magnetons follow the coordinates.
Fractional coordinates of all 10 atoms:
Rb (0.642, 0.951, 0.284)  0.00
Br (0.812, 0.450, 0.245)  0.36
Br (0.433, 0.450, 0.245)  0.36
Br (0.882, 0.450, 0.764)  0.02
Br (0.567, 0.950, 0.755)  0.36
Rb (0.358, 0.451, 0.716)  0.00
Br (0.188, 0.950, 0.755)  0.36
Br (0.118, 0.950, 0.236)  0.02
H (0.990, 0.449, 0.979)  0.00
H (0.010, 0.949, 0.021)  0.00

## Properties
Magnetization   1.01 μB per formula unit

***

Model x:
Computed, not measured: RbHBr3 after structural relaxation at the PBE level of DFT.

a = 7.627 Å, b = 7.627 Å, c = 7.537 Å
α = 59.60°, β = 59.60°, γ = 90.00°
Site moments in Bohr magnetons follow the coordinates.
Fractional coordinates of all 10 atoms:
Br (0.701, 0.701, 0.000)  0.28
Br (0.837, 0.837, 0.326)  0.04
Br (0.163, 0.163, 0.674)  0.04
Br (0.701, 0.299, 0.000)  0.28
Br (0.299, 0.299, 0.000)  0.28
H (0.000, 0.000, 0.000)  0.00
Rb (0.250, 0.750, 0.500)  0.00
H (0.500, 0.500, 0.000)  -0.01
Rb (0.750, 0.250, 0.500)  0.00
Br (0.299, 0.701, 0.000)  0.28

## Properties
Magnetization   0.77 μB per formula unit

***

Most stable to least stable, the ends of the list are model w and model x.

***

Model w:
Computed, not measured: KAg2Os after structural relaxation at the PBE level of DFT.

a = 4.892 Å, b = 4.892 Å, c = 4.892 Å
α = 60.00°, β = 60.00°, γ = 60.00°
Site moments in Bohr magnetons follow the coordinates.
Fractional coordinates of all 4 atoms:
Os (0.750, 0.750, 0.750)  1.92
K (0.500, 0.500, 0.500)  0.02
Ag (0.250, 0.250, 0.250)  0.00
Ag (0.000, 0.000, 0.000)  0.09

## Properties
Magnetization   2.18 μB per formula unit

***

Model x:
Computed, not measured: KAg2Os after structural relaxation at the PBE level of DFT.

a = 2.814 Å, b = 2.814 Å, c = 9.960 Å
α = 90.00°, β = 90.00°, γ = 90.04°
Fractional coordinates of all 4 atoms:
Ag (0.000, 0.000, 0.540)
Os (0.500, 0.500, 0.750)
Ag (0.000, 0.000, 0.960)
K (0.500, 0.500, 0.250)

## Properties
Magnetization   0.00 μB per formula unit

***

Most stable to least stable, the ends of the list are model x and model w.

***

Model w:
Computed, not measured: Na5B7C3 after structural relaxation at the PBE level of DFT.

a = 11.615 Å, b = 11.615 Å, c = 9.988 Å
α = 106.94°, β = 106.94°, γ = 14.00°
Fractional coordinates of all 30 atoms:
Na (0.901, 0.901, 0.300)
B (0.220, 0.220, 0.691)
B (0.586, 0.586, 0.923)
C (0.117, 0.117, 0.986)
B (0.424, 0.424, 0.095)
Na (0.800, 0.800, 0.602)
C (0.080, 0.080, 0.410)
Na (0.700, 0.700, 0.899)
B (0.924, 0.924, 0.598)
B (0.017, 0.017, 0.282)
C (0.486, 0.486, 0.219)
B (0.380, 0.380, 0.511)
Na (0.301, 0.301, 0.095)
C (0.712, 0.712, 0.174)
B (0.992, 0.992, 0.733)
Na (0.101, 0.101, 0.699)
B (0.680, 0.680, 0.612)
C (0.282, 0.282, 0.817)
B (0.772, 0.772, 0.294)
Na (0.001, 0.001, 0.001)
B (0.611, 0.611, 0.472)
Na (0.501, 0.501, 0.502)
Na (0.198, 0.198, 0.402)
Na (0.600, 0.600, 0.200)
B (0.884, 0.884, 0.015)
Na (0.401, 0.401, 0.803)
B (0.316, 0.316, 0.382)
C (0.523, 0.523, 0.795)
B (0.814, 0.814, 0.879)
B (0.180, 0.180, 0.110)

## Properties
Magnetization   0.00 μB per formula unit

***

Model x:
Computed, not measured: Na5B7C3 after structural relaxation at the PBE level of DFT.

a = 7.691 Å, b = 7.691 Å, c = 9.057 Å
α = 107.74°, β = 107.74°, γ = 38.07°
Fractional coordinates of all 30 atoms:
B (0.412, 0.086, 0.752)
B (0.898, 0.211, 0.749)
B (0.702, 0.998, 0.750)
Na (0.399, 0.401, 0.998)
Na (0.800, 0.799, 0.999)
B (0.071, 0.428, 0.751)
C (0.582, 0.928, 0.250)
B (0.737, 0.348, 0.250)
C (0.772, 0.118, 0.250)
B (0.513, 0.187, 0.250)
B (0.968, 0.330, 0.250)
B (0.272, 0.629, 0.749)
Na (0.099, 0.101, 0.501)
B (0.614, 0.288, 0.748)
Na (0.500, 0.501, 0.500)
Na (0.199, 0.200, 0.000)
B (0.920, 0.591, 0.250)
B (0.370, 0.732, 0.250)
C (0.215, 0.884, 0.749)
C (0.816, 0.485, 0.751)
B (0.489, 0.802, 0.751)
B (0.352, 0.963, 0.250)
Na (0.700, 0.701, 0.502)
C (0.177, 0.523, 0.250)
Na (0.999, 0.000, 0.998)
C (0.013, 0.687, 0.750)
Na (0.599, 0.601, 0.999)
B (0.109, 0.780, 0.250)
Na (0.299, 0.301, 0.502)
Na (0.901, 0.900, 0.501)

## Properties
Magnetization   0.00 μB per formula unit

***

Most stable to least stable, the ends of the list are model w and model x.

***

Model w:
Computed, not measured: TcAg3 after structural relaxation at the PBE level of DFT.

a = 5.035 Å, b = 5.035 Å, c = 11.623 Å
α = 149.67°, β = 149.67°, γ = 31.26°
Site moments in Bohr magnetons follow the coordinates.
Fractional coordinates of all 4 atoms:
Ag (0.007, 0.007, 0.005)  0.03
Tc (0.000, 0.000, 0.250)  0.81
Ag (0.993, 0.993, 0.495)  0.03
Ag (0.000, 0.000, 0.750)  0.01

## Properties
Magnetization   0.94 μB per formula unit

***

Model x:
Computed, not measured: TcAg3 after structural relaxation at the PBE level of DFT.

a = 5.521 Å, b = 5.521 Å, c = 5.521 Å
α = 117.50°, β = 117.50°, γ = 117.50°
Site moments in Bohr magnetons follow the coordinates.
Fractional coordinates of all 4 atoms:
Ag (0.000, 0.000, 0.000)  0.00
Tc (0.500, 0.000, 0.500)  0.20
Ag (0.500, 0.500, 0.000)  0.00
Ag (0.000, 0.500, 0.500)  0.00

## Properties
Magnetization   0.24 μB per formula unit

***

Most stable to least stable, the ends of the list are model w and model x.